DFT (GGA-PBE) results for a relaxed Ba6SrTl crystal.

Lattice parameters (Å, degrees): 9.0889 14.6711 8.1311 90.00 120.69 90.00
Space group C2/m (No. 12)
Inequivalent atoms, fractional coordinates:
Ba1 0.2248 0.2112 0.2429 (multiplicity 8)
Ba2 0.2338 0.0000 0.7856 (multiplicity 4)
Sr1 0.0000 0.5000 0.5000 (multiplicity 2)
Tl1 0.0000 0.0000 0.0000 (multiplicity 2)

Values from the calculation:
Offset from the most stable computed form = 0.147 eV/atom
Total moment = 0.00 Bohr magnetons per cell
Energy of formation = 75 meV per atom
Fermi-level density of states = 1.929 states/eV per atom


DFT (GGA-PBE) results for a relaxed La2WAu crystal.

Lattice parameters (Å, degrees): 7.3869 7.3869 7.3869 90.00 90.00 90.00
Space group Fm-3m (No. 225)
Inequivalent atoms, fractional coordinates:
La1 0.2500 0.2500 0.2500 (multiplicity 8)
W1 0.0000 0.0000 0.0000 (multiplicity 4)
Au1 0.0000 0.0000 0.5000 (multiplicity 4)

Values from the calculation:
Offset from the most stable computed form = 0.115 eV/atom
Total moment = 3.26 Bohr magnetons per cell
Energy of formation = 209 meV per atom
Fermi-level density of states = 0.931 states/eV per atom


DFT (GGA-PBE) results for a relaxed MgPbBr4 crystal.

Lattice parameters (Å, degrees): 6.9414 4.1054 7.4276 90.00 92.65 90.00
Space group P2/m (No. 10)
Inequivalent atoms, fractional coordinates:
Mg1 0.0000 0.0000 0.0000 (multiplicity 1)
Pb1 0.0000 0.5000 0.5000 (multiplicity 1)
Br1 0.2176 0.5000 0.8666 (multiplicity 2)
Br2 0.2352 0.0000 0.3016 (multiplicity 2)

Values from the calculation:
Offset from the most stable computed form = 0.000 eV/atom
Total moment = 0.00 Bohr magnetons per cell
Fermi-level density of states = 0.000 states/eV per atom


DFT (GGA-PBE) results for a relaxed CoMo2H2 crystal.

Lattice parameters (Å, degrees): 2.8788 2.8788 11.5894 90.00 90.00 90.00
Space group I4/mmm (No. 139)
Inequivalent atoms, fractional coordinates:
Co1 0.0000 0.0000 0.0000 (multiplicity 2)
Mo1 0.0000 0.0000 0.3583 (multiplicity 4)
H1 0.0000 0.5000 0.2500 (multiplicity 4)

Values from the calculation:
Offset from the most stable computed form = 0.000 eV/atom
Total moment = 2.46 Bohr magnetons per cell
Fermi-level density of states = 0.776 states/eV per atom


DFT (GGA-PBE) results for a relaxed LiCa2Ge3Pt4 crystal.

Lattice parameters (Å, degrees): 4.1819 4.1819 10.7277 90.00 90.00 90.00
Space group P-4m2 (No. 115)
Inequivalent atoms, fractional coordinates:
Li1 0.0000 0.0000 0.0000 (multiplicity 1)
Ca1 0.0000 0.5000 0.7538 (multiplicity 2)
Ge1 0.0000 0.5000 0.3645 (multiplicity 2)
Ge2 0.5000 0.5000 0.0000 (multiplicity 1)
Pt1 0.0000 0.0000 0.5000 (multiplicity 1)
Pt2 0.0000 0.5000 0.1360 (multiplicity 2)
Pt3 0.5000 0.5000 0.5000 (multiplicity 1)

Values from the calculation:
Total moment = 0.00 Bohr magnetons per cell
Energy of formation = -821 meV per atom
Fermi-level density of states = 0.588 states/eV per atom


DFT (GGA-PBE) results for a relaxed LaSmCuPd crystal.

Lattice parameters (Å, degrees): 4.6148 3.9127 10.9110 90.00 90.00 90.00
Space group Amm2 (No. 38)
Inequivalent atoms, fractional coordinates:
La1 0.0000 0.0000 0.0000 (multiplicity 2)
Sm1 0.5000 0.0000 0.7245 (multiplicity 2)
Cu1 0.0000 0.0000 0.2842 (multiplicity 2)
Pd1 0.5000 0.0000 0.4355 (multiplicity 2)

Values from the calculation:
Offset from the most stable computed form = 0.000 eV/atom
Total moment = 0.00 Bohr magnetons per cell
Energy of formation = -508 meV per atom
Fermi-level density of states = 0.983 states/eV per atom